Entry 1:
KW3F | the Alexandria database | meta-GGA SCAN | single point on PBEsol structure; E_tot = -42.169 eV per atom; symmetry = Pm-3m; raw formation energy = 46.517 kcal/mol of atoms
1.0
4.388 0.000 0.000
0.000 4.388 0.000
0.000 0.000 4.388
K W F
1 3 1
Direct
0.000 0.000 0.000
0.000 0.500 0.500
0.500 0.000 0.500
0.500 0.500 0.000
0.500 0.500 0.500

=====

Entry 2:
BeReAg2 | the Alexandria database | meta-GGA SCAN | single point on PBEsol structure; E_tot = -33.718 eV per atom; formation energy from the elements = 829 meV/atom; symmetry = I-4m2
1.0
-2.162 2.162 3.068
2.162 -2.162 3.068
2.162 2.162 -3.068
Be Re Ag
1 1 2
Direct
0.000 0.000 0.000
0.750 0.250 0.500
0.250 0.750 0.500
0.500 0.500 0.000

=====

What are the D(E_F) values for these records? In order: 0.818; 0.460 states/eV per atom.